Record 1
## BaNaCa2Si (GGA-PBE)

Data for a relaxed structure of BaNaCa2Si.

The space group is P4/mmm (No. 123) and the conventional cell measures 5.8254, 5.8254 and 5.3769 Å, with angles of 90.00, 90.00 and 90.00 degrees. The inequivalent atoms are Ba at (0.0000, 0.0000, 0.0000), Na at (0.5000, 0.5000, 0.5000), Ca at (0.0000, 0.5000, 0.5000) and Si at (0.5000, 0.5000, 0.0000).

Its density of states at the Fermi level is 4.3 states/eV/cell. For the formation energy from raw total energies, the calculation gives 0.34 eV/atom. As for the total energy: -2.1943 eV/atom.

Record 2
## BaNaCa2Si (GGA-PBE)

Data for a relaxed structure of BaNaCa2Si.

The space group is P4/mmm (No. 123) and the conventional cell measures 5.8199, 5.8199 and 5.9590 Å, with angles of 90.00, 90.00 and 90.00 degrees. The inequivalent atoms are Ba at (0.0000, 0.0000, 0.0000), Na at (0.5000, 0.5000, 0.0000), Ca at (0.0000, 0.5000, 0.5000) and Si at (0.5000, 0.5000, 0.5000).

Its density of states at the Fermi level is 5.2 states/eV/cell. For the formation energy from raw total energies, the calculation gives -0.01 eV/atom. As for the total energy: -2.5428 eV/atom.